Below is a geometry-optimized Sm2Si3Ir2 structure, with properties calculated at the PBE level.

Values from the calculation:
Total magnetization in μB/f.u.: 0.0
Symmetry: Cmcm (63)
E above lowest polymorph in kJ/mol of formula units: 0
E_form (uncorrected) in eV per atom: -0.858
Calculated volume in Å³ per atom: 18.4

```
14
Lattice="2.091 -8.810 0.000 2.091 8.810 0.000 0.000 0.000 6.988" Properties=species:S:1:pos:R:3 pbc="T T T"
Sm 2.091 7.805 5.241
Sm 2.091 6.093 1.747
Sm 2.091 -6.093 5.241
Sm 2.091 -7.805 1.747
Si 2.091 4.821 5.241
Si 2.091 1.087 3.982
Si 2.091 1.087 6.500
Si 2.091 -1.087 0.488
Si 2.091 -1.087 3.006
Si 2.091 -4.821 1.747
Ir 2.091 3.378 0.351
Ir 2.091 3.378 3.143
Ir 2.091 -3.378 3.845
Ir 2.091 -3.378 6.637
```

Below is a geometry-optimized SmSiIr structure, with properties calculated at the PBE level.

Values from the calculation:
Total magnetization in μB/f.u.: 0.0
Symmetry: Cmcm (63)
E_form (uncorrected) in eV per atom: -0.763
Calculated volume in Å³ per atom: 19.1

```
12
Lattice="4.062 0.000 0.000 0.000 10.540 0.000 0.000 0.000 5.348" Properties=species:S:1:pos:R:3 pbc="T T T"
Sm 0.000 2.263 1.337
Sm 0.000 8.277 4.011
Sm 2.031 3.007 4.011
Sm 2.031 7.533 1.337
Si 0.000 5.270 0.000
Si 0.000 5.270 2.674
Si 2.031 0.000 0.000
Si 2.031 0.000 2.674
Ir 0.000 0.784 4.011
Ir 0.000 9.756 1.337
Ir 2.031 4.486 1.337
Ir 2.031 6.054 4.011
```

Below is a geometry-optimized Sm8Si2Ir structure, with properties calculated at the PBE level.

Values from the calculation:
Total magnetization in μB/f.u.: 0.0
Symmetry: C2/m (12)
E_form (uncorrected) in eV per atom: -0.396
Calculated volume in Å³ per atom: 27.6

```
11
Lattice="9.564 -2.410 0.000 9.564 2.410 0.000 -1.589 0.000 6.588" Properties=species:S:1:pos:R:3 pbc="T T T"
Sm 0.029 0.000 1.892
Sm 2.843 0.000 5.456
Sm 5.785 0.000 3.339
Sm 7.721 0.000 0.232
Sm 9.817 0.000 6.356
Sm 11.754 0.000 3.249
Sm 14.696 0.000 1.133
Sm 17.509 0.000 4.696
Si 3.102 0.000 1.640
Si 14.437 0.000 4.948
Ir 8.769 0.000 3.294
```

Below is a geometry-optimized SmSi4Ir6 structure, with properties calculated at the PBE level.

Values from the calculation:
Total magnetization in μB/f.u.: 0.0
Symmetry: P-6m2 (187)
E_form (uncorrected) in eV per atom: -0.848
Calculated volume in Å³ per atom: 15.1

```
11
Lattice="7.050 0.000 0.000 -3.525 6.105 0.000 0.000 0.000 3.855" Properties=species:S:1:pos:R:3 pbc="T T T"
Sm 0.000 0.000 0.000
Si 0.000 4.070 0.000
Si 2.088 1.206 1.927
Si 4.962 1.206 1.927
Si 3.525 3.694 1.927
Ir 0.000 2.426 1.927
Ir -1.424 4.892 1.927
Ir 3.525 0.404 0.000
Ir 2.113 2.850 0.000
Ir 1.424 4.892 1.927
Ir 4.937 2.850 0.000
```

Below is a geometry-optimized Sm3Si8Ir3 structure, with properties calculated at the PBE level.

Values from the calculation:
Total magnetization in μB/f.u.: 0.0
Symmetry: Immm (71)
E_form (uncorrected) in eV per atom: -0.581
Calculated volume in Å³ per atom: 17.0

```
14
Lattice="-2.114 4.798 5.852 2.114 -4.798 5.852 2.114 4.798 -5.852" Properties=species:S:1:pos:R:3 pbc="T T T"
Sm 0.000 0.000 0.000
Sm 0.000 0.000 3.614
Sm 0.000 0.000 8.090
Si 2.114 -1.260 1.948
Si 2.114 -2.037 4.378
Si 2.114 1.260 1.948
Si 0.000 2.761 1.473
Si 2.114 2.037 4.378
Si 0.000 3.538 3.903
Si 0.000 6.835 1.473
Si 0.000 6.058 3.903
Ir 2.114 2.670 0.000
Ir 0.000 4.798 0.000
Ir 0.000 2.128 5.852
```

Below is a geometry-optimized Sm3Si2Ir2 structure, with properties calculated at the PBE level.

Values from the calculation:
Total magnetization in μB/f.u.: 0.0
Symmetry: Cmcm (63)
E above lowest polymorph in kJ/mol of formula units: 0
E_form (uncorrected) in eV per atom: -0.925
Calculated volume in Å³ per atom: 21.1

```
14
Lattice="2.068 -5.323 0.000 2.068 5.323 0.000 0.000 0.000 13.388" Properties=species:S:1:pos:R:3 pbc="T T T"
Sm 2.068 5.128 10.041
Sm 2.068 2.425 1.390
Sm 2.068 2.425 5.304
Sm 2.068 -2.425 8.084
Sm 2.068 -2.425 11.998
Sm 2.068 -5.128 3.347
Si 2.068 0.641 7.880
Si 2.068 0.641 12.202
Si 2.068 -0.641 1.186
Si 2.068 -0.641 5.508
Ir 0.000 0.000 0.000
Ir 0.000 0.000 6.694
Ir 2.068 1.965 10.041
Ir 2.068 -1.965 3.347
```

Below is a geometry-optimized SmSi2Ir2 structure, with properties calculated at the PBE level.

Values from the calculation:
Total magnetization in μB/f.u.: 0.0
Symmetry: I4/mmm (139)
E_form (uncorrected) in eV per atom: -1.072
Calculated volume in Å³ per atom: 17.0

```
10
Lattice="4.103 0.000 0.000 0.000 4.103 0.000 0.000 0.000 10.101" Properties=species:S:1:pos:R:3 pbc="T T T"
Sm 0.000 0.000 0.000
Sm 2.051 2.051 5.051
Si 0.000 0.000 3.809
Si 0.000 0.000 6.292
Si 2.051 2.051 1.242
Si 2.051 2.051 8.859
Ir 0.000 2.051 2.525
Ir 0.000 2.051 7.576
Ir 2.051 0.000 2.525
Ir 2.051 0.000 7.576
```

Below is a geometry-optimized SmSi2Ir3 structure, with properties calculated at the PBE level.

Values from the calculation:
Total magnetization in μB/f.u.: 0.0
Symmetry: C2/m (12)
E_form (uncorrected) in eV per atom: -0.895
Calculated volume in Å³ per atom: 16.6

```
18
Lattice="8.004 -2.002 0.000 8.004 2.002 0.000 -3.058 0.000 9.330" Properties=species:S:1:pos:R:3 pbc="T T T"
Sm 0.000 0.000 0.000
Sm 0.389 0.000 6.525
Sm 12.561 0.000 2.805
Si 2.769 0.000 1.208
Si 4.112 0.000 5.150
Si 6.774 0.000 2.076
Si 6.176 0.000 7.254
Si 8.838 0.000 4.181
Si 10.181 0.000 8.122
Ir -0.342 0.000 3.091
Ir 2.314 0.000 3.667
Ir 5.059 0.000 0.399
Ir 3.575 0.000 7.459
Ir 6.475 0.000 4.665
Ir 9.375 0.000 1.872
Ir 7.891 0.000 8.932
Ir 10.636 0.000 5.663
Ir 13.292 0.000 6.239
```

Below is a geometry-optimized Sm2SiIr structure, with properties calculated at the PBE level.

Values from the calculation:
Total magnetization in μB/f.u.: 0.0
Symmetry: P2_1/m (11)
E_form (uncorrected) in eV per atom: -0.776
Calculated volume in Å³ per atom: 23.5

```
8
Lattice="5.655 0.000 0.000 0.000 4.239 0.000 -2.369 0.000 7.831" Properties=species:S:1:pos:R:3 pbc="T T T"
Sm 0.146 1.060 3.262
Sm 1.403 3.179 0.508
Sm 1.883 1.060 7.324
Sm 3.140 3.179 4.569
Si 0.296 3.179 5.580
Si 2.990 1.060 2.251
Ir -0.911 1.060 6.101
Ir 4.197 3.179 1.730
```

Below is a geometry-optimized Sm3Si2Ir2 structure, with properties calculated at the PBE level.

Values from the calculation:
Total magnetization in μB/f.u.: 0.0
Symmetry: Pbcm (57)
E above lowest polymorph in kJ/mol of formula units: 21
E_form (uncorrected) in eV per atom: -0.893
Calculated volume in Å³ per atom: 21.5

```
28
Lattice="5.767 0.000 0.000 0.000 7.888 0.000 0.000 0.000 13.253" Properties=species:S:1:pos:R:3 pbc="T T T"
Sm 0.713 1.910 3.313
Sm 0.713 2.034 9.940
Sm 2.119 4.832 8.006
Sm 2.119 4.832 11.873
Sm 2.119 7.000 1.380
Sm 2.119 7.000 5.247
Sm 3.648 0.888 8.006
Sm 3.648 0.888 11.873
Sm 3.648 3.056 1.380
Sm 3.648 3.056 5.247
Sm 5.054 5.854 3.313
Sm 5.054 5.978 9.940
Si 0.515 1.972 0.000
Si 0.515 1.972 6.626
Si 2.022 4.685 3.313
Si 2.022 7.147 9.940
Si 3.744 0.741 3.313
Si 3.744 3.203 9.940
Si 5.252 5.916 0.000
Si 5.252 5.916 6.626
Ir 0.822 4.127 1.179
Ir 0.822 4.127 5.448
Ir 0.822 7.705 7.805
Ir 0.822 7.705 12.074
Ir 4.944 0.183 1.179
Ir 4.944 0.183 5.448
Ir 4.944 3.761 7.805
Ir 4.944 3.761 12.074
```

Below is a geometry-optimized Sm2Si4Ir5 structure, with properties calculated at the PBE level.

Values from the calculation:
Total magnetization in μB/f.u.: 0.0
Symmetry: Fmmm (69)
E_form (uncorrected) in eV per atom: -0.898
Calculated volume in Å³ per atom: 17.5

```
11
Lattice="0.000 4.836 7.069 2.815 0.000 7.069 2.815 4.836 0.000" Properties=species:S:1:pos:R:3 pbc="T T T"
Sm 2.815 4.836 1.806
Sm 2.815 4.836 12.332
Si 2.815 3.334 5.212
Si 2.815 3.334 8.926
Si 2.815 6.339 5.212
Si 2.815 6.339 8.926
Ir 1.408 2.418 0.000
Ir 1.408 2.418 3.535
Ir 1.408 2.418 7.069
Ir 2.815 4.836 7.069
Ir 4.223 7.255 10.604
```

Below is a geometry-optimized SmSi2Ir4 structure, with properties calculated at the PBE level.

Values from the calculation:
Total magnetization in μB/f.u.: 0.0
Symmetry: P4_2/mnm (136)
E_form (uncorrected) in eV per atom: -0.779
Calculated volume in Å³ per atom: 16.1

```
14
Lattice="7.653 0.000 0.000 0.000 7.653 0.000 0.000 0.000 3.860" Properties=species:S:1:pos:R:3 pbc="T T T"
Sm 0.000 0.000 0.000
Sm 3.826 3.826 1.930
Si 1.744 1.744 1.930
Si 2.083 5.570 0.000
Si 5.570 2.083 0.000
Si 5.909 5.909 1.930
Ir 0.575 5.093 1.930
Ir 1.267 3.252 0.000
Ir 2.560 7.078 1.930
Ir 3.252 1.267 0.000
Ir 4.401 6.386 0.000
Ir 5.093 0.575 1.930
Ir 6.386 4.401 0.000
Ir 7.078 2.560 1.930
```

Below is a geometry-optimized Tb2Sm2Si4Ir structure, with properties calculated at the PBE level.

Values from the calculation:
Total magnetization in μB/f.u.: 0.0
Symmetry: I4/mmm (139)
E_form (uncorrected) in eV per atom: -0.401
Calculated volume in Å³ per atom: 22.7

```
9
Lattice="-3.448 3.448 4.289 3.448 -3.448 4.289 3.448 3.448 -4.289" Properties=species:S:1:pos:R:3 pbc="T T T"
Tb 0.000 0.000 1.600
Tb 0.000 0.000 6.978
Sm 3.448 0.000 2.144
Sm 0.000 3.448 2.144
Si 1.750 1.750 0.000
Si 1.698 -1.698 4.289
Si -1.698 1.698 4.289
Si 1.698 1.698 4.289
Ir 0.000 0.000 4.289
```

Below is a geometry-optimized Tb2Sm2SiIr4 structure, with properties calculated at the PBE level.

Values from the calculation:
Total magnetization in μB/f.u.: 0.0
Symmetry: I4/mmm (139)
E_form (uncorrected) in eV per atom: -0.450
Calculated volume in Å³ per atom: 21.0

```
9
Lattice="-3.225 3.225 4.543 3.225 -3.225 4.543 3.225 3.225 -4.543" Properties=species:S:1:pos:R:3 pbc="T T T"
Tb 3.225 0.000 2.271
Tb 0.000 3.225 2.271
Sm 0.000 0.000 1.738
Sm 0.000 0.000 7.348
Si 0.000 0.000 4.543
Ir 1.592 1.592 0.000
Ir 1.633 -1.633 4.543
Ir -1.633 1.633 4.543
Ir 1.633 1.633 4.543
```

Below is a geometry-optimized TbSmSiIr structure, with properties calculated at the PBE level.

Values from the calculation:
Total magnetization in μB/f.u.: 0.0
Symmetry: Amm2 (38)
E_form (uncorrected) in eV per atom: -0.824
Calculated volume in Å³ per atom: 22.7

```
8
Lattice="4.027 0.000 0.000 0.000 4.228 0.000 0.000 0.000 10.682" Properties=species:S:1:pos:R:3 pbc="T T T"
Tb 0.000 0.000 0.000
Tb 0.000 2.114 5.341
Sm 2.013 0.000 7.661
Sm 2.013 2.114 2.320
Si 0.000 0.000 3.175
Si 0.000 2.114 8.516
Ir 2.013 0.000 4.658
Ir 2.013 2.114 9.999
```

Below is a geometry-optimized SmSi2TcIr structure, with properties calculated at the PBE level.

Values from the calculation:
Total magnetization in μB/f.u.: 0.0
Symmetry: I-4m2 (119)
E_form (uncorrected) in eV per atom: -0.888
Calculated volume in Å³ per atom: 17.4

```
10
Lattice="4.222 0.000 0.000 0.000 4.222 0.000 0.000 0.000 9.760" Properties=species:S:1:pos:R:3 pbc="T T T"
Sm 0.000 0.000 0.000
Sm 2.111 2.111 4.880
Si 0.000 0.000 3.608
Si 0.000 0.000 6.152
Si 2.111 2.111 1.272
Si 2.111 2.111 8.488
Tc 0.000 2.111 2.440
Tc 2.111 0.000 7.320
Ir 0.000 2.111 7.320
Ir 2.111 0.000 2.440
```

Below is a geometry-optimized SmSi3TcIr structure, with properties calculated at the PBE level.

Values from the calculation:
Total magnetization in μB/f.u.: 0.0
Symmetry: Cmcm (63)
E_form (uncorrected) in eV per atom: -0.436
Calculated volume in Å³ per atom: 19.8

```
12
Lattice="3.799 -5.660 0.000 3.799 5.660 0.000 0.000 0.000 5.525" Properties=species:S:1:pos:R:3 pbc="T T T"
Sm 3.799 2.911 4.143
Sm 3.799 -2.911 1.381
Si 3.799 2.830 1.381
Si 1.913 0.000 0.000
Si 1.913 0.000 2.762
Si 5.686 0.000 0.000
Si 5.686 0.000 2.762
Si 3.799 -2.830 4.143
Tc 3.799 0.618 1.381
Tc 3.799 -0.618 4.143
Ir 3.799 5.045 1.381
Ir 3.799 -5.045 4.143
```

Below is a geometry-optimized SmTh2Si2Ir7 structure, with properties calculated at the PBE level.

Values from the calculation:
Total magnetization in μB/f.u.: 0.0
Symmetry: C2/m (12)
E_form (uncorrected) in eV per atom: -0.760
Calculated volume in Å³ per atom: 18.6

```
12
Lattice="2.922 -2.895 0.000 2.922 2.895 0.000 -1.799 0.000 13.197" Properties=species:S:1:pos:R:3 pbc="T T T"
Sm 0.000 0.000 0.000
Th -0.052 0.000 4.576
Th 4.096 0.000 8.622
Si 1.124 0.000 9.869
Si 2.921 0.000 3.328
Ir 1.460 1.445 2.141
Ir 1.120 0.000 7.532
Ir 2.585 1.445 11.056
Ir 2.922 0.000 0.000
Ir 1.460 -1.445 2.141
Ir 2.925 0.000 5.666
Ir 2.585 -1.445 11.056
```

Below is a geometry-optimized SmTh2Si3Ir4 structure, with properties calculated at the PBE level.

Values from the calculation:
Total magnetization in μB/f.u.: 0.0
Symmetry: P-4m2 (115)
E_form (uncorrected) in eV per atom: -0.938
Calculated volume in Å³ per atom: 19.4

```
10
Lattice="4.129 0.000 0.000 0.000 4.129 0.000 0.000 0.000 11.393" Properties=species:S:1:pos:R:3 pbc="T T T"
Sm 0.000 0.000 0.000
Th 0.000 2.064 8.301
Th 2.064 0.000 3.092
Si 0.000 2.064 4.389
Si 2.064 0.000 7.004
Si 2.064 2.064 0.000
Ir 0.000 0.000 5.696
Ir 0.000 2.064 2.007
Ir 2.064 0.000 9.386
Ir 2.064 2.064 5.696
```

Below is a geometry-optimized Sm2TiSi3Ir4 structure, with properties calculated at the PBE level.

Values from the calculation:
Total magnetization in μB/f.u.: 0.0
Symmetry: P-4m2 (115)
E_form (uncorrected) in eV per atom: -1.026
Calculated volume in Å³ per atom: 17.6

```
10
Lattice="4.111 0.000 0.000 0.000 4.111 0.000 0.000 0.000 10.408" Properties=species:S:1:pos:R:3 pbc="T T T"
Sm 0.000 2.056 2.530
Sm 2.056 0.000 7.878
Ti 0.000 0.000 5.204
Si 0.000 2.056 9.104
Si 2.056 0.000 1.304
Si 2.056 2.056 5.204
Ir 0.000 0.000 0.000
Ir 0.000 2.056 6.672
Ir 2.056 0.000 3.736
Ir 2.056 2.056 0.000
```